1.
# BaZn2S3, relaxed, DFT PBE
# space-group type: Cmcm, No. 63
# energy: -3.878 eV/atom
data_BaZn2S3
_chemical_formula_sum 'Ba2 Zn4 S6'
_cell_length_a 7.0758
_cell_length_b 7.0758
_cell_length_c 9.8482
_cell_angle_alpha 90.00
_cell_angle_beta 90.00
_cell_angle_gamma 147.78
_space_group_name_H-M_alt 'P 1'
_space_group_IT_number 1
loop_
_space_group_symop_operation_xyz
'x,y,z'
loop_
_atom_site_label
_atom_site_fract_x
_atom_site_fract_y
_atom_site_fract_z
_atom_site_occupancy
Ba1 0.2494 0.7506 0.7500 1
Ba2 0.7506 0.2494 0.2500 1
Zn1 0.0000 0.0000 0.0000 1
Zn2 0.0000 0.0000 0.5000 1
Zn3 0.4704 0.5296 0.2500 1
Zn4 0.5296 0.4704 0.7500 1
S1 0.0676 0.9324 0.2500 1
S2 0.3761 0.6239 0.0539 1
S3 0.3761 0.6239 0.4461 1
S4 0.6239 0.3761 0.5539 1
S5 0.6239 0.3761 0.9461 1
S6 0.9324 0.0676 0.7500 1

2.
# SrNbAu, relaxed, DFT PBE
# spin magnetization: 1.39 μB per atom
# space-group type: F-43m, No. 216
# energy: -3.791 eV/atom
data_SrNbAu
_chemical_formula_sum 'Sr4 Nb4 Au4'
_cell_length_a 7.1458
_cell_length_b 7.1458
_cell_length_c 7.1458
_cell_angle_alpha 90.00
_cell_angle_beta 90.00
_cell_angle_gamma 90.00
_space_group_name_H-M_alt 'P 1'
_space_group_IT_number 1
loop_
_space_group_symop_operation_xyz
'x,y,z'
loop_
_atom_site_label
_atom_site_fract_x
_atom_site_fract_y
_atom_site_fract_z
_atom_site_occupancy
Sr1 0.0000 0.0000 0.0000 1
Sr2 0.0000 0.5000 0.5000 1
Sr3 0.5000 0.0000 0.5000 1
Sr4 0.5000 0.5000 0.0000 1
Nb1 0.2500 0.2500 0.2500 1
Nb2 0.2500 0.7500 0.7500 1
Nb3 0.7500 0.2500 0.7500 1
Nb4 0.7500 0.7500 0.2500 1
Au1 0.2500 0.2500 0.7500 1
Au2 0.2500 0.7500 0.2500 1
Au3 0.7500 0.2500 0.2500 1
Au4 0.7500 0.7500 0.7500 1

3.
# Gd2N, relaxed, DFT PBE
# spin magnetization: 0.17 μB per atom
# space-group type: Fd-3m, No. 227
# energy: -5.895 eV/atom
data_Gd2N
_chemical_formula_sum 'Gd4 N2'
_cell_length_a 7.3586
_cell_length_b 7.3586
_cell_length_c 7.3586
_cell_angle_alpha 60.00
_cell_angle_beta 60.00
_cell_angle_gamma 60.00
_space_group_name_H-M_alt 'P 1'
_space_group_IT_number 1
loop_
_space_group_symop_operation_xyz
'x,y,z'
loop_
_atom_site_label
_atom_site_fract_x
_atom_site_fract_y
_atom_site_fract_z
_atom_site_occupancy
Gd1 0.0000 0.0000 0.0000 1
Gd2 0.0000 0.0000 0.5000 1
Gd3 0.0000 0.5000 0.0000 1
Gd4 0.5000 0.0000 0.0000 1
N1 0.1250 0.1250 0.1250 1
N2 0.8750 0.8750 0.8750 1

4.
# HoTaNb, relaxed, DFT PBE
# spin magnetization: 0.00 μB per atom
# space-group type: F-43m, No. 216
# energy: -7.960 eV/atom
data_HoTaNb
_chemical_formula_sum 'Ho4 Ta4 Nb4'
_cell_length_a 6.6036
_cell_length_b 6.6036
_cell_length_c 6.6036
_cell_angle_alpha 90.00
_cell_angle_beta 90.00
_cell_angle_gamma 90.00
_space_group_name_H-M_alt 'P 1'
_space_group_IT_number 1
loop_
_space_group_symop_operation_xyz
'x,y,z'
loop_
_atom_site_label
_atom_site_fract_x
_atom_site_fract_y
_atom_site_fract_z
_atom_site_occupancy
Ho1 0.0000 0.0000 0.0000 1
Ho2 0.0000 0.5000 0.5000 1
Ho3 0.5000 0.0000 0.5000 1
Ho4 0.5000 0.5000 0.0000 1
Ta1 0.0000 0.0000 0.5000 1
Ta2 0.0000 0.5000 0.0000 1
Ta3 0.5000 0.0000 0.0000 1
Ta4 0.5000 0.5000 0.5000 1
Nb1 0.2500 0.2500 0.2500 1
Nb2 0.2500 0.7500 0.7500 1
Nb3 0.7500 0.2500 0.7500 1
Nb4 0.7500 0.7500 0.2500 1